# MoH4O5

Crystalline MoH4O5 at its relaxed geometry (PBE+U, Alexandria).

Computed properties:
symmetry	No. 4
crystal system	monoclinic
energy relative to the lowest polymorph listed for this composition	40	meV/atom
magnetization	0.00	μB/cell

Structure (POSCAR):
```
MoH4O5
1.0
-0.211 -0.870 -7.821
2.082 -4.390 0.432
-4.875 -3.694 0.543
Mo H O
2 8 10
Cartesian
-1.635 -4.342 -1.926
-1.394 -4.716 -5.853
0.529 -1.310 -0.679
0.782 -4.584 -0.874
-3.455 -3.197 -0.784
-3.753 -4.235 -4.752
-4.381 -4.822 -6.825
1.295 -4.470 -3.055
0.491 -5.593 -4.586
-3.470 -7.387 -3.857
-1.392 -4.563 0.354
-4.559 -4.074 0.074
-0.375 -3.359 -6.133
-3.320 -4.580 -5.573
-2.659 -5.722 -1.846
-2.647 -2.890 -1.327
0.304 -4.425 -1.726
-1.516 -3.998 -3.667
-0.343 -6.008 -5.004
1.634 -4.556 -4.001
```